# 1
This record from the Open Quantum Materials Database describes a geometry-optimized SmTcPO structure. The functional is GGA-PBE.

Unit cell a=3.984 b=3.984 c=8.364 alpha=90.00 beta=90.00 gamma=90.00
Element x y z (fractional)
O  0.750  0.250  0.000
O  0.250  0.750  0.000
P  0.250  0.250  0.344
P  0.750  0.750  0.656
Sm  0.750  0.750  0.137
Sm  0.250  0.250  0.863
Tc  0.750  0.250  0.500
Tc  0.250  0.750  0.500

energy relative to the lowest polymorph listed for this composition = 0.000 eV/atom
space group = P4/nmm (129)



# 2
This record from the Open Quantum Materials Database describes a geometry-optimized SmTePO6 structure. The functional is GGA-PBE.

Unit cell a=5.255 b=5.255 c=9.838 alpha=90.00 beta=90.00 gamma=120.00
Element x y z (fractional)
O  0.644  0.015  0.140
O  0.372  0.356  0.140
O  0.985  0.628  0.140
O  0.372  0.015  0.360
O  0.985  0.356  0.360
O  0.644  0.628  0.360
O  0.356  0.372  0.640
O  0.015  0.644  0.640
O  0.628  0.985  0.640
O  0.015  0.372  0.860
O  0.628  0.644  0.860
O  0.356  0.985  0.860
P  0.333  0.667  0.250
P  0.667  0.333  0.750
Sm  0.000  0.000  0.000
Sm  0.000  0.000  0.500
Te  0.667  0.333  0.250
Te  0.333  0.667  0.750

space group = P-31c (163)
calculated total energy = -6.390 eV per atom



# 3
This record from the Open Quantum Materials Database describes a geometry-optimized SmTlPO structure. The functional is GGA-PBE.

Unit cell a=4.824 b=6.606 c=6.483 alpha=90.00 beta=90.00 gamma=90.00
Element x y z (fractional)
O  0.000  0.874  0.376
O  0.000  0.126  0.876
P  0.500  0.315  0.378
P  0.500  0.685  0.878
Sm  0.000  0.841  0.040
Sm  0.000  0.159  0.540
Tl  0.500  0.720  0.460
Tl  0.500  0.280  0.960

energy relative to the lowest polymorph listed for this composition = 0.142 eV/atom
space group = Pmc2_1 (26)



# 4
This record from the Open Quantum Materials Database describes a geometry-optimized SmTlPO structure. The functional is GGA-PBE.

Unit cell a=4.113 b=7.987 c=5.888 alpha=90.00 beta=90.00 gamma=90.00
Element x y z (fractional)
O  0.000  0.801  0.420
O  0.000  0.199  0.920
P  0.500  0.333  0.431
P  0.500  0.667  0.931
Sm  0.500  0.688  0.435
Sm  0.500  0.312  0.935
Tl  0.000  0.126  0.468
Tl  0.000  0.874  0.968

energy relative to the lowest polymorph listed for this composition = 0.144 eV/atom
space group = Pmc2_1 (26)



# 5
This record from the Open Quantum Materials Database describes a geometry-optimized SmTlPO structure. The functional is GGA-PBE.

Unit cell a=5.843 b=5.843 c=4.990 alpha=90.00 beta=90.00 gamma=90.00
Element x y z (fractional)
O  0.000  0.000  0.000
O  0.500  0.500  0.000
P  0.500  0.000  0.498
P  0.000  0.500  0.502
Sm  0.000  0.000  0.500
Sm  0.500  0.500  0.500
Tl  0.000  0.500  0.002
Tl  0.500  0.000  0.998

energy relative to the lowest polymorph listed for this composition = 0.166 eV/atom
space group = P4/nmm (129)



# 6
This record from the Open Quantum Materials Database describes a geometry-optimized SmTlPO structure. The functional is GGA-PBE.

Unit cell a=4.219 b=4.219 c=9.485 alpha=90.00 beta=90.00 gamma=90.00
Element x y z (fractional)
O  0.000  0.000  0.000
O  0.500  0.500  0.000
P  0.500  0.000  0.282
P  0.000  0.500  0.718
Sm  0.000  0.500  0.110
Sm  0.500  0.000  0.890
Tl  0.000  0.000  0.500
Tl  0.500  0.500  0.500

energy relative to the lowest polymorph listed for this composition = 0.000 eV/atom
space group = P4/nmm (129)



# 7
This record from the Open Quantum Materials Database describes a geometry-optimized TcSnPO structure. The functional is GGA-PBE.

Unit cell a=3.758 b=3.758 c=10.275 alpha=90.00 beta=90.00 gamma=90.00
Element x y z (fractional)
O  0.000  0.000  0.000
O  0.500  0.500  0.000
P  0.500  0.000  0.349
P  0.000  0.500  0.651
Sn  0.000  0.500  0.117
Sn  0.500  0.000  0.883
Tc  0.000  0.000  0.500
Tc  0.500  0.500  0.500

energy relative to the lowest polymorph listed for this composition = 0.000 eV/atom
space group = P4/nmm (129)



# 8
This record from the Open Quantum Materials Database describes a geometry-optimized TcSnPO structure. The functional is GGA-PBE.

Unit cell a=4.151 b=4.151 c=9.234 alpha=90.00 beta=90.00 gamma=90.00
Element x y z (fractional)
O  0.750  0.250  0.000
O  0.250  0.750  0.000
P  0.750  0.750  0.276
P  0.250  0.250  0.724
Sn  0.750  0.250  0.500
Sn  0.250  0.750  0.500
Tc  0.750  0.750  0.045
Tc  0.250  0.250  0.955

energy relative to the lowest polymorph listed for this composition = 0.535 eV/atom
space group = P4/nmm (129)



# 9
This record from the Open Quantum Materials Database describes a geometry-optimized TcSnPO structure. The functional is GGA-PBE.

Unit cell a=3.415 b=6.154 c=7.287 alpha=90.00 beta=90.00 gamma=90.00
Element x y z (fractional)
O  0.000  0.778  0.425
O  0.000  0.222  0.925
P  0.500  0.360  0.295
P  0.500  0.640  0.795
Sn  0.000  0.811  0.048
Sn  0.000  0.189  0.548
Tc  0.500  0.657  0.486
Tc  0.500  0.343  0.986

energy relative to the lowest polymorph listed for this composition = 0.314 eV/atom
space group = Pmc2_1 (26)



# 10
This record from the Open Quantum Materials Database describes a geometry-optimized TmSnPO structure. The functional is GGA-PBE.

Unit cell a=3.866 b=8.811 c=5.695 alpha=90.00 beta=90.00 gamma=90.00
Element x y z (fractional)
O  0.000  0.249  0.383
O  0.000  0.751  0.883
P  0.500  0.841  0.420
P  0.500  0.159  0.920
Sn  0.000  0.349  0.021
Sn  0.000  0.651  0.521
Tm  0.500  0.153  0.430
Tm  0.500  0.847  0.930

energy relative to the lowest polymorph listed for this composition = 0.000 eV/atom
space group = Pmc2_1 (26)



# 11
This record from the Open Quantum Materials Database describes a geometry-optimized TmSnPO structure. The functional is GGA-PBE.

Unit cell a=5.445 b=5.445 c=5.123 alpha=90.00 beta=90.00 gamma=90.00
Element x y z (fractional)
O  0.000  0.000  0.000
O  0.500  0.500  0.000
P  0.000  0.500  0.499
P  0.500  0.000  0.501
Sn  0.500  0.000  0.000
Sn  0.000  0.500  0.000
Tm  0.000  0.000  0.500
Tm  0.500  0.500  0.500

energy relative to the lowest polymorph listed for this composition = 0.335 eV/atom
space group = P4/nmm (129)



# 12
This record from the Open Quantum Materials Database describes a geometry-optimized TmSnPO structure. The functional is GGA-PBE.

Unit cell a=4.030 b=4.030 c=9.687 alpha=90.00 beta=90.00 gamma=90.00
Element x y z (fractional)
O  0.000  0.000  0.000
O  0.500  0.500  0.000
P  0.500  0.000  0.272
P  0.000  0.500  0.728
Sn  0.000  0.000  0.500
Sn  0.500  0.500  0.500
Tm  0.000  0.500  0.101
Tm  0.500  0.000  0.899

energy relative to the lowest polymorph listed for this composition = 0.115 eV/atom
space group = P4/nmm (129)